(1)
Entry from Alexandria: a relaxed structure of PrCoAs3 (GGA-PBE).

Output
SG: Pbcm, No. 57
crystal system: orthorhombic

a b c (Å): 12.388 5.616 5.582
angles (deg): 90.00 90.00 90.00
Atoms (fractional coordinates):
Pr: 0.195 0.001 0.250
Pr: 0.195 0.499 0.750
Pr: 0.805 0.501 0.250
Pr: 0.805 0.999 0.750
Co: 0.414 0.750 0.000
Co: 0.414 0.750 0.500
Co: 0.586 0.250 0.000
Co: 0.586 0.250 0.500
As: 0.001 0.750 0.000
As: 0.001 0.750 0.500
As: 0.299 0.004 0.750
As: 0.299 0.496 0.250
As: 0.443 0.103 0.250
As: 0.443 0.397 0.750
As: 0.557 0.603 0.250
As: 0.557 0.897 0.750
As: 0.701 0.504 0.750
As: 0.701 0.996 0.250
As: 0.999 0.250 0.000
As: 0.999 0.250 0.500

---

(2)
Entry from Alexandria: a relaxed structure of PrCoAs2 (GGA-PBE).

Output
SG: I4/mmm, No. 139
crystal system: tetragonal

a b c (Å): 3.992 3.992 19.995
angles (deg): 90.00 90.00 90.00
Atoms (fractional coordinates):
Pr: 0.000 0.000 0.119
Pr: 0.000 0.000 0.881
Pr: 0.500 0.500 0.381
Pr: 0.500 0.500 0.619
Co: 0.000 0.500 0.250
Co: 0.000 0.500 0.750
Co: 0.500 0.000 0.250
Co: 0.500 0.000 0.750
As: 0.000 0.000 0.313
As: 0.000 0.000 0.687
As: 0.000 0.500 0.000
As: 0.000 0.500 0.500
As: 0.500 0.000 0.000
As: 0.500 0.000 0.500
As: 0.500 0.500 0.187
As: 0.500 0.500 0.813

---

(3)
Entry from Alexandria: a relaxed structure of PrCo3As3 (GGA-PBE).

Output
SG: R-3, No. 148
crystal system: trigonal

a b c (Å): 7.834 7.834 7.834
angles (deg): 50.40 50.40 50.40
Atoms (fractional coordinates):
Pr: 0.167 0.167 0.167
Pr: 0.833 0.833 0.833
Co: 0.023 0.723 0.377
Co: 0.277 0.623 0.977
Co: 0.377 0.023 0.723
Co: 0.623 0.977 0.277
Co: 0.723 0.377 0.023
Co: 0.977 0.277 0.623
As: 0.098 0.402 0.715
As: 0.285 0.902 0.598
As: 0.402 0.715 0.098
As: 0.598 0.285 0.902
As: 0.715 0.098 0.402
As: 0.902 0.598 0.285

---

no.,E_tot (eV/atom)
1,-5.8388
2,-6.1163
3,-6.1775